[1]
Compound: AcSeCl
Source: the Alexandria database
Functional: PBE
Structure: relaxed

Structure (POSCAR):
```
AcSeCl
1.0
4.105 0.000 0.000
0.000 4.105 0.000
-2.053 -2.053 4.827
Se Cl Ac
1 1 1
direct
0.011 0.011 0.022
0.330 0.330 0.660
0.659 0.659 0.318
```

E_form (uncorrected) ... -1933 meV/atom
M_tot ... 0.00 Bohr magnetons per cell


[2]
Compound: Ac2SeCl
Source: the Alexandria database
Functional: PBE
Structure: relaxed

Structure (POSCAR):
```
Ac2SeCl
1.0
-1.968 -1.162 3.105
3.314 -0.783 1.808
0.170 7.131 2.777
Se Cl Ac
1 1 2
direct
0.500 0.500 0.000
0.500 0.500 0.500
0.000 0.000 0.242
0.000 0.000 0.758
```

E_form (uncorrected) ... -1375 meV/atom
M_tot ... 0.00 Bohr magnetons per cell


Q: Look up the E_form (uncorrected) of the second one.
A: -1375 meV/atom